Computed, not measured: crystalline LiNiP2 at its relaxed geometry at the PBE-GGA level of DFT.

Cell: 3.1691 3.1691 5.5520 Å, 90.00 90.00 90.00°
With the nearest neighbours (Å) after each atom.
Fractional positions:
1 Li 0.0000 0.0000 0.0000  2 Ni 2.78, 8 P 2.81
2 Ni 0.0000 0.0000 0.5000  8 P 2.49, 2 Li 2.78
3 P 0.5000 0.5000 0.3063  1 P 2.15
4 P 0.5000 0.5000 0.6937  1 P 2.15

Computed properties:
space-group type: P4/mmm (123)
size of the total moment: 0.00 μB/f.u.
calculated total energy: -4.86 eV/atom